a) The following is a GGA-PBE calculation of a relaxed ErP3O9 crystal, from Alexandria.

Cell: 20.3011 10.1887 11.4448 Å, 82.24 90.00 90.00°
Last column: nearest neighbours and their distance in Å.
Atoms (fractional coordinates):
O1 0.4177 0.4811 0.8737  1 P 1.50
O2 0.7812 0.5258 0.8397  1 P 1.49
O3 0.0177 0.8061 0.1045  1 P 1.49
O4 0.2435 0.5975 0.6309  1 P 1.50
O5 0.9089 0.2856 0.7238  2 P 1.60
O6 0.3981 0.9241 0.3939  1 P 1.50
O7 0.2679 0.7311 0.7981  2 P 1.60
O8 0.8042 0.6794 0.4091  1 P 1.50
O9 0.4337 0.4513 0.6545  1 P 1.50
O10 0.0373 0.2084 0.4574  1 P 1.50
O11 0.5663 0.5487 0.3455  1 P 1.50
O12 0.9960 0.6367 0.7283  2 P 1.61
O13 0.4960 0.8633 0.2717  2 P 1.61
O14 0.9823 0.1939 0.8955  1 P 1.49
O15 0.5373 0.2916 0.5426  1 P 1.50
O16 0.9100 0.4597 0.3804  1 P 1.49
O17 0.8383 0.2588 0.5556  1 P 1.50
O18 0.6414 0.3745 0.2901  2 P 1.60-1.61
O19 0.3147 0.2293 0.9571  1 P 1.50
O20 0.6958 0.1794 0.4091  1 P 1.50
O21 0.9085 0.4621 0.1556  1 P 1.50
O22 0.7188 0.0258 0.8397  1 P 1.49
O23 0.4085 0.0379 0.8444  1 P 1.50
O24 0.5915 0.9621 0.1556  1 P 1.50
O25 0.0900 0.5403 0.6196  1 P 1.49
O26 0.4839 0.8871 0.7459  2 P 1.61
O27 0.0040 0.3633 0.2717  2 P 1.61
O28 0.6711 0.6208 0.2409  2 P 1.61-1.62
O29 0.1895 0.1309 0.1662  2 P 1.60-1.61
O30 0.7565 0.4025 0.3691  1 P 1.50
O31 0.8981 0.5759 0.6061  1 P 1.50
O32 0.5911 0.7856 0.7238  2 P 1.60
O33 0.2597 0.9334 0.9032  1 P 1.50
O34 0.5680 0.4119 0.8763  1 P 1.50
O35 0.7545 0.9661 0.6387  1 P 1.50
O36 0.6019 0.0759 0.6061  1 P 1.50
O37 0.0746 0.9208 0.3814  1 P 1.50
O38 0.6895 0.3691 0.8338  2 P 1.60-1.61
O39 0.4320 0.5881 0.1237  1 P 1.50
O40 0.6853 0.7707 0.0429  1 P 1.50
O41 0.1711 0.8792 0.7591  2 P 1.61-1.62
O42 0.7435 0.9025 0.3691  1 P 1.50
O43 0.9254 0.0792 0.6186  1 P 1.50
O44 0.5161 0.1129 0.2541  2 P 1.61
O45 0.2812 0.9742 0.1603  1 P 1.49
O46 0.6213 0.1891 0.9441  1 P 1.50
O47 0.6728 0.6089 0.7524  2 P 1.61
O48 0.4089 0.2144 0.2762  2 P 1.60
O49 0.2545 0.5339 0.3613  1 P 1.50
O50 0.3935 0.7325 0.2764  2 P 1.60
O51 0.3289 0.3792 0.7591  2 P 1.61-1.62
O52 0.7597 0.5666 0.0968  1 P 1.50
O53 0.1065 0.2325 0.2764  2 P 1.60
O54 0.7679 0.7689 0.2019  2 P 1.60
O55 0.6617 0.7588 0.5556  1 P 1.50
O56 0.1019 0.4241 0.3939  1 P 1.50
O57 0.4627 0.7084 0.4574  1 P 1.50
O58 0.0915 0.5379 0.8444  1 P 1.50
O59 0.0161 0.3871 0.7459  2 P 1.61
O60 0.0761 0.5818 0.1097  1 P 1.50
O61 0.2188 0.4742 0.1603  1 P 1.49
O62 0.7455 0.4661 0.6387  1 P 1.50
O63 0.2403 0.4334 0.9032  1 P 1.50
O64 0.1617 0.7412 0.4444  1 P 1.50
O65 0.2321 0.2311 0.7981  2 P 1.60
O66 0.0911 0.7144 0.2762  2 P 1.60
O67 0.9337 0.0487 0.3455  1 P 1.50
O68 0.3787 0.8109 0.0559  1 P 1.50
O69 0.1728 0.8911 0.2476  2 P 1.61
O70 0.8289 0.1208 0.2409  2 P 1.61-1.62
O71 0.8586 0.8745 0.2901  2 P 1.60-1.61
O72 0.0680 0.0881 0.1237  1 P 1.50
O73 0.5761 0.9182 0.8903  1 P 1.50
O74 0.3105 0.6309 0.1662  2 P 1.60-1.61
O75 0.2565 0.0975 0.6309  1 P 1.50
O76 0.4823 0.3061 0.1045  1 P 1.49
O77 0.8787 0.6891 0.9441  1 P 1.50
O78 0.0663 0.9513 0.6545  1 P 1.50
O79 0.8272 0.1089 0.7524  2 P 1.61
O80 0.4239 0.0818 0.1097  1 P 1.50
O81 0.1958 0.3206 0.5909  1 P 1.50
O82 0.4254 0.4208 0.3814  1 P 1.50
O83 0.8105 0.8691 0.8338  2 P 1.60-1.61
O84 0.2455 0.0339 0.3613  1 P 1.50
O85 0.9839 0.6129 0.2541  2 P 1.61
O86 0.3383 0.2412 0.4444  1 P 1.50
O87 0.5040 0.1367 0.7283  2 P 1.61
O88 0.7321 0.2689 0.2019  2 P 1.60
O89 0.1853 0.7293 0.9571  1 P 1.50
O90 0.3042 0.8206 0.5909  1 P 1.50
O91 0.8147 0.2707 0.0429  1 P 1.50
O92 0.5900 0.9597 0.3804  1 P 1.49
O93 0.5823 0.5189 0.1263  1 P 1.50
O94 0.9239 0.4182 0.8903  1 P 1.50
O95 0.9320 0.9119 0.8763  1 P 1.50
O96 0.5177 0.6939 0.8955  1 P 1.49
O97 0.9627 0.7916 0.5426  1 P 1.50
O98 0.0823 0.9811 0.8737  1 P 1.50
O99 0.9177 0.0189 0.1263  1 P 1.50
O100 0.7403 0.0666 0.0968  1 P 1.50
O101 0.5746 0.5792 0.6186  1 P 1.50
O102 0.1213 0.3109 0.0559  1 P 1.50
O103 0.4100 0.0403 0.6196  1 P 1.49
O104 0.3586 0.6255 0.7099  2 P 1.60-1.61
O105 0.1414 0.1255 0.7099  2 P 1.60-1.61
O106 0.3272 0.3911 0.2476  2 P 1.61
O107 0.6065 0.2675 0.7236  2 P 1.60
O108 0.8935 0.7675 0.7236  2 P 1.60
P1 0.1235 0.8218 0.3482  4 O 1.50-1.61
P2 0.7794 0.1780 0.1354  4 O 1.50-1.62
P3 0.9465 0.4726 0.2661  4 O 1.49-1.61
P4 0.5427 0.8184 0.8260  4 O 1.49-1.61
P5 0.7731 0.9930 0.7604  4 O 1.49-1.61
P6 0.3765 0.3218 0.3482  4 O 1.50-1.61
P7 0.2206 0.8220 0.8646  4 O 1.50-1.62
P8 0.6168 0.3083 0.8524  4 O 1.50-1.60
P9 0.4374 0.8101 0.3606  4 O 1.50-1.61
P10 0.2901 0.6958 0.6718  4 O 1.50-1.60
P11 0.3898 0.4817 0.7524  4 O 1.50-1.61
P12 0.3832 0.6917 0.1476  4 O 1.50-1.60
P13 0.4465 0.0274 0.7339  4 O 1.49-1.61
P14 0.0427 0.6816 0.1740  4 O 1.49-1.61
P15 0.2794 0.3220 0.8646  4 O 1.50-1.62
P16 0.5535 0.9726 0.2661  4 O 1.49-1.61
P17 0.4573 0.1816 0.1740  4 O 1.49-1.61
P18 0.7206 0.6780 0.1354  4 O 1.50-1.62
P19 0.1168 0.1917 0.1476  4 O 1.50-1.60
P20 0.7269 0.4930 0.7604  4 O 1.49-1.61
P21 0.2269 0.0070 0.2396  4 O 1.49-1.61
P22 0.7099 0.3042 0.3282  4 O 1.50-1.60
P23 0.6235 0.6782 0.6518  4 O 1.50-1.61
P24 0.8898 0.0183 0.2476  4 O 1.50-1.61
P25 0.6102 0.5183 0.2476  4 O 1.50-1.61
P26 0.9374 0.6899 0.6394  4 O 1.50-1.61
P27 0.1102 0.9817 0.7524  4 O 1.50-1.61
P28 0.9573 0.3184 0.8260  4 O 1.49-1.61
P29 0.8765 0.1782 0.6518  4 O 1.50-1.61
P30 0.7901 0.8042 0.3282  4 O 1.50-1.60
P31 0.2731 0.5070 0.2396  4 O 1.49-1.61
P32 0.2099 0.1958 0.6718  4 O 1.50-1.60
P33 0.8832 0.8083 0.8524  4 O 1.50-1.60
P34 0.0626 0.3101 0.3606  4 O 1.50-1.61
P35 0.0535 0.5274 0.7339  4 O 1.49-1.61
P36 0.5626 0.1899 0.6394  4 O 1.50-1.61
Er1 0.1755 0.5236 0.5022  6 O 2.22-2.27
Er2 0.1565 0.5155 0.0003  6 O 2.21-2.25
Er3 0.6755 0.9764 0.4978  6 O 2.22-2.27
Er4 0.8245 0.4764 0.4978  6 O 2.22-2.27
Er5 0.0000 0.0000 0.0000  6 O 2.20-2.25
Er6 0.3435 0.0155 0.0003  6 O 2.21-2.25
Er7 0.5000 0.5000 0.5000  6 O 2.22-2.25
Er8 0.3245 0.0236 0.5022  6 O 2.22-2.27
Er9 0.8435 0.4845 0.9997  6 O 2.21-2.25
Er10 0.0000 0.0000 0.5000  6 O 2.22-2.25
Er11 0.5000 0.5000 0.0000  6 O 2.20-2.25
Er12 0.6565 0.9845 0.9997  6 O 2.21-2.25

---

b) The following is a GGA-PBE calculation of a relaxed ErP3O9 crystal, from Alexandria.

Cell: 6.9381 6.9381 7.1928 Å, 90.00 90.00 105.00°
Last column: nearest neighbours and their distance in Å.
Atoms (fractional coordinates):
P1 0.1654 0.8076 0.0416  4 O 1.49-1.62
P2 0.2505 0.2505 0.0000  4 O 1.52-1.59
P3 0.7495 0.7495 0.5000  4 O 1.52-1.59
P4 0.1924 0.8346 0.4584  4 O 1.49-1.62
P5 0.8346 0.1924 0.5416  4 O 1.49-1.62
P6 0.8076 0.1654 0.9584  4 O 1.49-1.62
O1 0.6709 0.2945 0.5292  1 P 1.49
O2 0.3684 0.3295 0.1738  1 P 1.52
O3 0.2945 0.6709 0.4708  1 P 1.49
O4 0.3291 0.7055 0.0292  1 P 1.49
O5 0.7098 0.9646 0.0372  1 P 1.49
O6 0.8705 0.1295 0.7500  2 P 1.60
O7 0.3295 0.3684 0.8262  1 P 1.52
O8 0.0354 0.2902 0.4628  1 P 1.49
O9 0.0264 0.2485 0.0493  2 P 1.59-1.62
O10 0.7515 0.9736 0.4507  2 P 1.59-1.62
O11 0.9736 0.7515 0.5493  2 P 1.59-1.62
O12 0.7055 0.3291 0.9708  1 P 1.49
O13 0.2902 0.0354 0.5372  1 P 1.49
O14 0.6316 0.6705 0.6738  1 P 1.52
O15 0.6705 0.6316 0.3262  1 P 1.52
O16 0.9646 0.7098 0.9628  1 P 1.49
O17 0.2485 0.0264 0.9507  2 P 1.59-1.62
O18 0.1295 0.8705 0.2500  2 P 1.60
Er1 0.6264 0.6264 0.0000  6 O 2.28-2.37
Er2 0.3736 0.3736 0.5000  6 O 2.28-2.37

---

Most stable of them? a).

---

a) The following is a GGA-PBE calculation of a relaxed PmEr2O crystal, from Alexandria.

Cell: 3.1855 3.1855 8.7112 Å, 90.00 90.00 90.00°
Last column: nearest neighbours and their distance in Å.
Atoms (fractional coordinates):
Pm1 0.5000 0.5000 0.5000  4 Pm 3.19
O1 0.5000 0.5000 0.0000  8 Er 2.73
Er1 0.0000 0.0000 0.8236  4 O 2.73
Er2 0.0000 0.0000 0.1764  4 O 2.73

---

b) The following is a GGA-PBE calculation of a relaxed PmEr2O crystal, from Alexandria.

Cell: 3.4457 3.4457 9.5693 Å, 79.63 79.63 60.00°
Last column: nearest neighbours and their distance in Å.
Atoms (fractional coordinates):
Er1 0.1202 0.1202 0.6395  3 O 2.38
Er2 0.8798 0.8798 0.3605  3 O 2.38
Pm1 0.0000 0.0000 0.0000  2 Er 3.37, 6 Pm 3.45
O1 0.5000 0.5000 0.5000  6 Er 2.38

---

Most stable of them? b).

---

a) The following is a GGA-PBE calculation of a relaxed PrErO2 crystal, from Alexandria.

Cell: 3.5810 3.5810 7.0884 Å, 75.37 75.37 60.00°
Last column: nearest neighbours and their distance in Å.
Atoms (fractional coordinates):
Pr1 0.0000 0.0000 0.0000  2 O 2.35
Er1 0.5000 0.5000 0.5000  6 O 2.31
O1 0.8845 0.8845 0.3465  3 Er 2.31, 1 Pr 2.35
O2 0.1155 0.1155 0.6535  3 Er 2.31, 1 Pr 2.35

---

b) The following is a GGA-PBE calculation of a relaxed PrErO2 crystal, from Alexandria.

Cell: 3.4400 3.4400 6.4371 Å, 74.50 74.50 60.00°
Last column: nearest neighbours and their distance in Å.
Atoms (fractional coordinates):
O1 0.2680 0.2680 0.1959  3 Er 2.37
O2 0.0660 0.0660 0.8020  3 Er 2.28
Er1 0.6713 0.6713 0.9862  6 O 2.28-2.37
Pr1 0.4947 0.4947 0.5159  6 O 2.65-2.79

---

Most stable of them? a).